Record 1
CaGePb PBE relaxed; total DFT energy (no corrections) = -3.787 eV per atom; polymorph energy (0 for the lowest one) = 67 meV/atom; symmetry = P1 (1); energy of formation = -0.34 eV/atom
1.0
6.006 0.000 -0.019
-2.962 5.241 0.020
-1.603 -2.562 5.190
Pb Ge Ca
2 2 2
direct
0.069 0.146 0.548
0.246 0.611 0.190
0.127 0.007 0.021
0.679 0.561 0.021
0.717 0.454 0.504
0.560 0.964 0.855

***

Record 2
CaGePb PBE relaxed; total DFT energy (no corrections) = -3.853 eV per atom; polymorph energy (0 for the lowest one) = 0 meV/atom; symmetry = Cmcm (63); energy of formation = -0.41 eV/atom
1.0
4.468 0.000 0.000
0.000 18.345 0.000
0.000 0.000 4.027
Pb Ge Ca
4 4 4
direct
0.000 0.711 0.250
0.000 0.289 0.750
0.500 0.211 0.250
0.500 0.789 0.750
0.000 0.544 0.250
0.000 0.456 0.750
0.500 0.044 0.250
0.500 0.956 0.750
0.000 0.911 0.250
0.000 0.089 0.750
0.500 0.411 0.250
0.500 0.589 0.750

***

Record 3
CaGePb PBE relaxed; total DFT energy (no corrections) = -3.699 eV per atom; polymorph energy (0 for the lowest one) = 154 meV/atom; symmetry = P-6m2 (187); energy of formation = -0.26 eV/atom
1.0
3.483 0.000 0.000
0.000 5.205 0.000
0.000 -2.602 4.507
Pb Ge Ca
1 1 1
direct
0.167 0.333 0.667
0.166 0.000 0.000
0.667 0.667 0.333